No. 1
The following is a PBE calculation of AlInP2 after structural relaxation, from Alexandria via LeMat-Bulk.

DFT formation energy: 0.82 eV per formula unit
DFT total energy: -16.49 eV for the cell shown
Offset from the most stable computed form: 615 meV/atom
N(E_F): 0.5625 states/eV/atom

Lattice parameters (Å, degrees): 3.391 3.391 7.384 90.00 90.00 113.44
Sites, in units of the cell vectors:
Al 0.500 0.500 0.250
In 0.500 0.500 0.750
P 0.000 0.000 0.039
P 0.000 0.000 0.461

No. 2
The following is a PBE calculation of AlInP2 after structural relaxation, from Alexandria via LeMat-Bulk.

DFT formation energy: -1.59 eV per formula unit
DFT total energy: -18.89 eV for the cell shown
Offset from the most stable computed form: 14 meV/atom
N(E_F): 0.0000 states/eV/atom

Lattice parameters (Å, degrees): 4.041 4.041 5.728 89.99 90.00 90.00
Sites, in units of the cell vectors:
In 0.500 0.875 0.750
Al 0.000 0.375 0.250
P 0.000 0.875 0.023
P 0.500 0.375 0.477

No. 3
The following is a PBE calculation of Al2InP after structural relaxation, from Alexandria via LeMat-Bulk.

DFT formation energy: 1.13 eV per formula unit
DFT total energy: -14.50 eV for the cell shown
Offset from the most stable computed form: 383 meV/atom
N(E_F): 0.3613 states/eV/atom

Lattice parameters (Å, degrees): 5.140 5.140 5.140 131.17 131.17 71.54
Sites, in units of the cell vectors:
Al 0.500 0.500 0.000
Al 0.000 0.000 0.000
In 0.250 0.750 0.500
P 0.750 0.250 0.500

No. 4
The following is a PBE calculation of AlInP2 after structural relaxation, from Alexandria via LeMat-Bulk.

DFT formation energy: -0.55 eV per formula unit
DFT total energy: -17.85 eV for the cell shown
Offset from the most stable computed form: 273 meV/atom
N(E_F): 0.3032 states/eV/atom

Lattice parameters (Å, degrees): 4.021 4.021 6.383 89.94 89.94 52.52
Sites, in units of the cell vectors:
P 0.773 0.773 0.555
P 0.982 0.982 0.998
In 0.275 0.275 0.224
Al 0.471 0.471 0.723

- Which of these has the lowest offset from the most stable computed form?
  number 2

- Number 3 is which compound?
  Al2InP

- What is the DFT total energy in the second record?
  -18.89 eV for the cell shown